The following is a PBE-GGA calculation of a relaxed Ac4Bi3Te crystal, from Alexandria via LeMat-Bulk.

Unit cell a=4.8510 b=6.8525 c=9.6852 alpha=90.00 beta=90.00 gamma=90.00
Last column: nearest neighbours and their distance in Å.
Element x y z (fractional)
Ac: 0.0000 0.0000 0.0000  6 Bi 3.43-3.44
Ac: 0.0000 0.0000 0.5000  4 Bi 3.41, 2 Te 3.43
Ac: 0.5000 0.5000 0.2466  4 Bi 3.40-3.43, 2 Te 3.45
Ac: 0.5000 0.5000 0.7534  4 Bi 3.40-3.43, 2 Te 3.45
Bi: 0.0000 0.5000 0.0000  6 Ac 3.40-3.43
Bi: 0.5000 0.0000 0.2522  6 Ac 3.41-3.44
Bi: 0.5000 0.0000 0.7478  6 Ac 3.41-3.44
Te: 0.0000 0.5000 0.5000  6 Ac 3.43-3.45

size of the total moment = 0.0 μB/cell
formation energy from raw total energies = -9.2 eV per formula unit
symmetry = No. 47



The following is a PBE-GGA calculation of a relaxed YMnOs2 crystal, from Alexandria via LeMat-Bulk.

Unit cell a=2.8750 b=3.9302 c=6.1199 alpha=90.00 beta=90.00 gamma=90.00
Last column: nearest neighbours and their distance in Å.
Element x y z (fractional)
Y: 0.0000 0.0000 0.0000  2 Y 2.88, 6 Os 2.97-3.15, 4 Mn 3.03
Mn: 0.5000 0.5000 0.2948  1 Os 2.45
Os: 0.0000 0.0000 0.5140  6 Os 2.67-2.88, 4 Mn 2.78, 1 Y 2.97
Os: 0.5000 0.5000 0.6947  1 Mn 2.45, 4 Os 2.67

size of the total moment = 3.4 μB/cell
E_tot = -9.24 eV per atom
symmetry = No. 25